An optimized crystal structure of TiTe2W2S4, computed with PBE.

Summary:
For the magnetic moment, the calculation gives 0.53 μB per cell. The formation energy (no corrections) comes out at -5.90 eV per formula unit. As for the symmetry: P3m1 (156). The crystal system is trigonal.

Structure (CIF):
```
data_TiTe2W2S4
_symmetry_space_group_name_H-M 'P 1'
_symmetry_Int_Tables_number 1
_cell_length_a 3.259
_cell_length_b 3.259
_cell_length_c 22.600
_cell_angle_alpha 90.00
_cell_angle_beta 90.00
_cell_angle_gamma 120.00
loop_
_symmetry_equiv_pos_as_xyz
'x,y,z'
loop_
_atom_site_label
_atom_site_fract_x
_atom_site_fract_y
_atom_site_fract_z
S1 0.000 0.000 0.593
S2 0.667 0.333 0.039
S3 0.667 0.333 0.902
S4 0.000 0.000 0.730
W1 0.000 0.000 0.970
W2 0.667 0.333 0.661
Te1 0.667 0.333 0.419
Te2 0.667 0.333 0.236
Ti1 0.000 0.000 0.327
```

=====

An optimized crystal structure of SrMo2Os, computed with PBE.

Summary:
For the magnetic moment, the calculation gives 0.00 μB per cell. As for the symmetry: I4_1/amd (141). The crystal system is tetragonal. The formation energy from the elements comes out at 1.148 eV per atom. The value obtained for the excess energy over the best structure of this formula in the dataset is 0.525 eV/atom.

Structure (CIF):
```
data_SrMo2Os
_symmetry_space_group_name_H-M 'P 1'
_symmetry_Int_Tables_number 1
_cell_length_a 4.925
_cell_length_b 4.925
_cell_length_c 9.407
_cell_angle_alpha 74.83
_cell_angle_beta 74.83
_cell_angle_gamma 90.00
loop_
_symmetry_equiv_pos_as_xyz
'x,y,z'
loop_
_atom_site_label
_atom_site_fract_x
_atom_site_fract_y
_atom_site_fract_z
Mo1 0.375 0.125 0.750
Mo2 0.875 0.125 0.750
Mo3 0.875 0.625 0.250
Mo4 0.875 0.125 0.250
Sr1 0.250 0.750 0.500
Sr2 0.500 0.500 0.000
Os1 0.750 0.250 0.500
Os2 0.000 0.000 0.000
```

=====

An optimized crystal structure of Pm2PaTl3S6, computed with PBE.

Summary:
For the magnetic moment, the calculation gives 2.05 μB per cell. The formation energy (no corrections) comes out at -15.95 eV per formula unit. As for the symmetry: C2/m (12). The crystal system is monoclinic.

Structure (CIF):
```
data_Pm2PaTl3S6
_symmetry_space_group_name_H-M 'P 1'
_symmetry_Int_Tables_number 1
_cell_length_a 7.103
_cell_length_b 7.103
_cell_length_c 7.970
_cell_angle_alpha 98.56
_cell_angle_beta 98.56
_cell_angle_gamma 119.97
loop_
_symmetry_equiv_pos_as_xyz
'x,y,z'
loop_
_atom_site_label
_atom_site_fract_x
_atom_site_fract_y
_atom_site_fract_z
Pm1 0.334 0.666 0.000
Pm2 0.666 0.334 0.000
S1 0.388 0.066 0.198
S2 0.254 0.254 0.798
S3 0.612 0.934 0.802
S4 0.934 0.612 0.802
S5 0.066 0.388 0.198
S6 0.746 0.746 0.202
Tl1 0.500 0.500 0.500
Tl2 0.829 0.171 0.500
Tl3 0.171 0.829 0.500
Pa1 0.000 0.000 0.000
```

=====

An optimized crystal structure of FeCo2Tc, computed with PBE.

Summary:
For the magnetic moment, the calculation gives 6.20 μB per cell. As for the symmetry: C2/m (12). The crystal system is monoclinic. The formation energy from the elements comes out at 0.184 eV per atom. The value obtained for the excess energy over the best structure of this formula in the dataset is 0.128 eV/atom.

Structure (CIF):
```
data_FeCo2Tc
_symmetry_space_group_name_H-M 'P 1'
_symmetry_Int_Tables_number 1
_cell_length_a 4.829
_cell_length_b 4.829
_cell_length_c 2.496
_cell_angle_alpha 80.14
_cell_angle_beta 80.14
_cell_angle_gamma 116.65
loop_
_symmetry_equiv_pos_as_xyz
'x,y,z'
loop_
_atom_site_label
_atom_site_fract_x
_atom_site_fract_y
_atom_site_fract_z
Tc1 0.000 0.500 0.500
Co1 0.000 0.000 0.000
Co2 0.500 0.500 0.000
Fe1 0.500 0.000 0.500
```

=====

An optimized crystal structure of CaThTe2, computed with PBE.

Summary:
For the magnetic moment, the calculation gives 0.00 μB per cell. The formation energy (no corrections) comes out at -5.10 eV per formula unit. As for the symmetry: R-3m (166). The crystal system is trigonal. The value obtained for the excess energy over the best structure of this formula in the dataset is 0.000 eV/atom.

Structure (CIF):
```
data_CaThTe2
_symmetry_space_group_name_H-M 'P 1'
_symmetry_Int_Tables_number 1
_cell_length_a 4.255
_cell_length_b 4.255
_cell_length_c 8.402
_cell_angle_alpha 75.33
_cell_angle_beta 75.33
_cell_angle_gamma 60.00
loop_
_symmetry_equiv_pos_as_xyz
'x,y,z'
loop_
_atom_site_label
_atom_site_fract_x
_atom_site_fract_y
_atom_site_fract_z
Te1 0.753 0.753 0.741
Te2 0.247 0.247 0.259
Ca1 0.500 0.500 0.500
Th1 0.000 0.000 0.000
```

=====

An optimized crystal structure of CaAc2PmS4, computed with PBE.

Summary:
For the magnetic moment, the calculation gives 0.00 μB per cell. The formation energy (no corrections) comes out at -16.15 eV per formula unit. As for the symmetry: P2/m (10). The crystal system is monoclinic.

Structure (CIF):
```
data_CaAc2PmS4
_symmetry_space_group_name_H-M 'P 1'
_symmetry_Int_Tables_number 1
_cell_length_a 4.144
_cell_length_b 7.259
_cell_length_c 7.228
_cell_angle_alpha 70.91
_cell_angle_beta 90.00
_cell_angle_gamma 90.00
loop_
_symmetry_equiv_pos_as_xyz
'x,y,z'
loop_
_atom_site_label
_atom_site_fract_x
_atom_site_fract_y
_atom_site_fract_z
S1 0.500 0.270 0.746
S2 0.500 0.730 0.254
S3 0.000 0.729 0.759
S4 0.000 0.271 0.241
Ac1 0.000 0.000 0.000
Ac2 0.500 0.000 0.500
Pm1 0.000 0.500 0.500
Ca1 0.500 0.500 0.000
```